Below is a relaxed SrLa2SiPd crystal, with properties calculated at the PBEsol level.

Cell and atoms, written as POSCAR:
```
SrLa2SiPd
1.0
5.594 0.000 0.000
0.000 5.594 0.000
0.000 0.000 5.712
Sr La Si Pd
1 2 1 1
Cartesian
0.000 0.000 0.000
0.000 2.797 2.856
2.797 0.000 2.856
0.000 0.000 2.856
2.797 2.797 0.000
```

Calculated density (g cm⁻³): 4.6
E_form (uncorrected) (eV per atom): 0.19
V (Å³ per atom): 35.7

=====

Below is a relaxed Mn2Al4Si5O18 crystal, with properties calculated at the PBEsol level.

Cell and atoms, written as POSCAR:
```
Mn2Al4Si5O18
1.0
4.951 -8.709 0.000
4.951 8.709 0.000
0.000 0.000 9.358
Mn Al Si O
4 8 10 36
Cartesian
4.951 5.874 2.339
4.951 5.874 7.018
4.951 -5.874 2.339
4.951 -5.874 7.018
2.476 4.355 2.340
2.476 4.355 7.018
1.916 0.848 0.000
1.916 -0.848 4.679
2.476 -4.355 2.339
2.476 -4.355 7.019
7.987 0.848 4.679
7.987 -0.848 0.000
0.000 0.000 2.339
0.000 0.000 7.018
2.648 2.350 4.679
4.152 3.301 0.000
5.750 3.301 4.679
2.648 -2.350 0.000
7.255 2.350 0.000
4.152 -3.301 4.679
5.750 -3.301 0.000
7.255 -2.350 4.679
1.938 3.020 3.350
1.938 3.020 6.008
0.848 1.053 1.413
0.848 1.053 7.944
0.848 -1.053 3.265
0.848 -1.053 6.092
3.913 4.251 1.327
3.913 4.251 8.031
3.104 2.095 0.000
2.496 0.769 4.679
4.205 2.824 4.679
2.496 -0.769 0.000
5.990 4.251 3.352
5.990 4.251 6.006
1.938 -3.020 1.329
1.938 -3.020 8.028
5.698 2.824 0.000
3.104 -2.095 4.679
6.799 2.095 4.679
4.205 -2.824 0.000
7.965 3.020 1.329
7.965 3.020 8.028
3.913 -4.251 3.352
3.913 -4.251 6.006
7.407 0.769 0.000
5.698 -2.824 4.679
7.407 -0.769 4.679
6.799 -2.095 0.000
5.990 -4.251 1.327
5.990 -4.251 8.031
9.054 1.053 3.265
9.054 1.053 6.092
9.054 -1.053 1.413
9.054 -1.053 7.944
7.965 -3.020 3.350
7.965 -3.020 6.008
```

Calculated density (g cm⁻³): 2.7
E_form (uncorrected) (eV per atom): -2.67
V (Å³ per atom): 13.9

=====

- Among the records above, which one has the lowest V?
  Mn2Al4Si5O18

=====

- Which of these has the lowest V?
  Mn2Al4Si5O18